No. 1
8
Lattice="5.217 0.000 0.000 0.000 5.246 0.000 0.000 0.000 10.000" Properties=species:S:1:pos:R:3 comment="La4SmDyEr2 | the Alexandria database | GGA-PBE | optimized geometry" total_energy_ry_per_atom=-0.349 density_g_cm3=7.30 pbc="T T T"
La 0.000 0.000 2.480
La 0.000 0.000 7.519
La 2.609 2.623 2.487
La 2.609 2.623 7.512
Sm 2.609 0.000 5.000
Dy 0.000 2.623 0.000
Er 0.000 2.623 5.000
Er 2.609 0.000 0.000

***

No. 2
13
Lattice="3.205 -8.156 0.000 3.205 8.156 0.000 -3.095 0.000 8.161" Properties=species:S:1:pos:R:3 comment="RbSn4Pb8 | the Alexandria database | GGA-PBE | optimized geometry" e_above_lowest_polymorph_mev_per_atom=0.0 density_g_cm3=8.63 pbc="T T T"
Rb 0.000 0.000 0.000
Sn -1.548 0.000 4.081
Sn 1.602 4.078 0.000
Sn 1.602 -4.078 0.000
Sn 1.657 0.000 4.081
Pb 0.074 5.276 5.280
Pb 0.079 1.784 6.376
Pb 3.240 5.276 2.881
Pb 0.079 -1.784 6.376
Pb 3.235 1.784 1.785
Pb 0.074 -5.276 5.280
Pb 3.235 -1.784 1.785
Pb 3.240 -5.276 2.881

***

No. 3
8
Lattice="-2.180 2.871 6.512 2.180 -2.871 6.512 2.180 2.871 -6.512" Properties=species:S:1:pos:R:3 comment="CaPd5Pb2 | the Alexandria database | GGA-PBE | optimized geometry" e_above_lowest_polymorph_mev_per_atom=0.0 density_g_cm3=10.05 pbc="T T T"
Ca 0.000 0.000 0.000
Pd 2.180 1.487 -1.422
Pd 2.180 1.487 1.422
Pd 0.000 2.871 0.000
Pd 0.000 1.384 5.090
Pd 0.000 1.384 7.933
Pb 2.180 0.000 3.742
Pb 0.000 2.871 2.769

***

No. 4
10
Lattice="4.158 0.000 0.000 0.000 4.158 0.000 0.000 0.000 9.565" Properties=species:S:1:pos:R:3 comment="Pu2P4PtRh3 | the Alexandria database | GGA-PBE | optimized geometry" total_energy_ry_per_atom=-0.640 density_g_cm3=11.20 pbc="T T T"
Pu 0.000 2.079 2.296
Pu 2.079 0.000 7.270
P 0.000 0.000 0.000
P 0.000 2.079 6.164
P 2.079 0.000 3.401
P 2.079 2.079 0.000
Pt 0.000 0.000 4.783
Rh 0.000 2.079 8.498
Rh 2.079 0.000 1.067
Rh 2.079 2.079 4.783

***

No. 5
5
Lattice="4.062 0.000 0.000 0.000 4.062 0.000 0.000 0.000 5.460" Properties=species:S:1:pos:R:3 comment="TlNi2BBr | the Alexandria database | GGA-PBE | optimized geometry" raw_formation_energy_mev_per_atom=533.0 density_g_cm3=7.60 pbc="T T T"
Tl 0.000 0.000 0.000
Ni 0.000 2.031 2.730
Ni 2.031 0.000 2.730
B 0.000 0.000 2.730
Br 2.031 2.031 0.000

***

No. 6
12
Lattice="6.368 -5.017 0.000 6.368 5.017 0.000 -3.862 0.000 6.294" Properties=species:S:1:pos:R:3 comment="Te4AuCl | the Alexandria database | GGA-PBE | optimized geometry" e_above_lowest_polymorph_mev_per_atom=9.5 raw_formation_energy_mev_per_atom=-7.2 density_g_cm3=6.13 pbc="T T T"
Te 2.830 2.826 3.239
Te 6.368 2.621 0.000
Te 0.014 0.000 5.099
Te 6.045 2.826 3.054
Te 2.830 -2.826 3.239
Te 8.861 0.000 1.195
Te 6.368 -2.621 0.000
Te 6.045 -2.826 3.054
Au -0.114 0.000 1.419
Au 8.989 0.000 4.875
Cl 3.754 0.000 1.337
Cl 5.121 0.000 4.956

***

No. 7
12
Lattice="8.509 -3.477 0.000 8.509 3.477 0.000 -0.008 0.000 6.016" Properties=species:S:1:pos:R:3 comment="Ho3Er2Sc | the Alexandria database | GGA-PBE | optimized geometry" e_above_lowest_polymorph_mev_per_atom=0.0 density_g_cm3=8.16 pbc="T T T"
Ho 8.503 2.588 4.512
Ho 5.711 0.861 3.497
Ho 5.715 -0.861 0.490
Ho 11.296 0.861 5.526
Ho 11.300 -0.861 2.518
Ho 8.507 -2.588 1.504
Er 2.810 0.874 5.502
Er 2.814 -0.874 2.495
Er 14.197 0.874 3.521
Er 14.201 -0.874 0.513
Sc 8.507 0.856 1.504
Sc 8.503 -0.856 4.512

***

No. 8
4
Lattice="0.000 3.640 3.640 3.640 0.000 3.640 3.640 3.640 0.000" Properties=species:S:1:pos:R:3 comment="AlTl2Au | the Alexandria database | GGA-PBE | optimized geometry" e_above_lowest_polymorph_mev_per_atom=248.8 density_g_cm3=10.89 pbc="T T T"
Al 0.000 0.000 0.000
Tl 1.820 1.820 1.820
Tl 5.460 5.460 5.460
Au 3.640 3.640 3.640

***

No. 9
4
Lattice="4.018 0.000 0.000 0.000 4.018 0.000 0.000 0.000 8.012" Properties=species:S:1:pos:R:3 comment="Ac2ScGa | the Alexandria database | GGA-PBE | optimized geometry" e_above_lowest_polymorph_mev_per_atom=0.0 density_g_cm3=7.30 pbc="T T T"
Ac 0.000 0.000 1.830
Ac 0.000 0.000 6.182
Sc 2.009 2.009 4.006
Ga 2.009 2.009 0.000

***

No. 10
8
Lattice="2.096 -5.592 0.000 2.096 5.592 0.000 0.000 0.000 7.299" Properties=species:S:1:pos:R:3 comment="ErZr2Co | the Alexandria database | GGA-PBE | optimized geometry" e_above_lowest_polymorph_mev_per_atom=12.2 density_g_cm3=7.93 pbc="T T T"
Er 2.096 4.998 5.474
Er 2.096 -4.998 1.825
Zr 2.096 1.676 3.992
Zr 2.096 1.676 6.956
Zr 2.096 -1.676 0.343
Zr 2.096 -1.676 3.307
Co 2.096 3.087 1.825
Co 2.096 -3.087 5.474

***

No. 11
12
Lattice="8.545 0.000 0.000 0.000 8.545 0.000 0.000 0.000 4.603" Properties=species:S:1:pos:R:3 comment="CdSnAs | the Alexandria database | GGA-PBE | optimized geometry" total_energy_ry_per_atom=-0.227 density_g_cm3=6.05 pbc="T T T"
Cd 0.000 1.546 0.000
Cd 0.000 7.000 0.000
Cd 1.546 0.000 2.302
Cd 7.000 0.000 2.302
Sn 2.579 4.273 2.302
Sn 4.273 2.579 0.000
Sn 4.273 5.967 0.000
Sn 5.967 4.273 2.302
As 0.000 2.846 2.302
As 0.000 5.700 2.302
As 2.846 0.000 0.000
As 5.700 0.000 0.000

***

No. 12
4
Lattice="4.586 0.000 0.000 0.000 4.586 0.000 0.000 0.000 2.834" Properties=species:S:1:pos:R:3 comment="MnRh2W | the Alexandria database | GGA-PBE | optimized geometry" e_above_lowest_polymorph_mev_per_atom=193.1 density_g_cm3=12.38 pbc="T T T"
Mn 0.000 0.000 0.000
Rh 0.000 2.293 1.417
Rh 2.293 0.000 1.417
W 2.293 2.293 0.000

***

No. 13
14
Lattice="4.909 -3.735 0.000 4.909 3.735 0.000 -2.028 0.000 6.608" Properties=species:S:1:pos:R:3 comment="NdAsO4F | the Alexandria database | GGA-PBE | optimized geometry" raw_formation_energy_mev_per_atom=-2094.4 density_g_cm3=4.14 pbc="T T T"
Nd 1.776 0.000 0.714
Nd 6.015 0.000 5.894
As 1.997 0.000 4.823
As 5.793 0.000 1.786
O 1.214 1.325 5.598
O 1.802 0.000 3.138
O 4.114 0.000 1.443
O 1.214 -1.325 5.598
O 6.576 1.325 1.011
O 3.676 0.000 5.165
O 5.988 0.000 3.471
O 6.576 -1.325 1.011
F -1.547 0.000 5.408
F 9.337 0.000 1.200

***

No. 14
8
Lattice="-1.886 1.886 10.514 1.886 -1.886 10.514 1.886 1.886 -10.514" Properties=species:S:1:pos:R:3 comment="HfW2Se | the Alexandria database | GGA-PBE | optimized geometry" raw_formation_energy_mev_per_atom=439.7 density_g_cm3=13.88 pbc="T T T"
Hf 0.000 0.000 0.000
Hf 0.000 1.886 5.257
W 2.829 0.933 -2.629
W 0.933 0.943 2.629
W -0.943 0.953 7.886
W 0.953 0.943 13.143
Se 1.886 0.000 5.257
Se 0.000 0.000 10.514

***

No. 15
4
Lattice="0.000 3.830 3.830 3.830 0.000 3.830 3.830 3.830 0.000" Properties=species:S:1:pos:R:3 comment="NdErTlSn | the Alexandria database | GGA-PBE | optimized geometry" total_energy_ry_per_atom=-0.322 density_g_cm3=9.38 pbc="T T T"
Nd 0.000 0.000 0.000
Er 3.830 3.830 3.830
Tl 5.745 5.745 5.745
Sn 1.915 1.915 1.915

***

No. 16
24
Lattice="5.151 0.000 0.000 -2.576 4.461 0.000 0.000 0.000 12.714" Properties=species:S:1:pos:R:3 comment="Pr2Co7B3 | the Alexandria database | GGA-PBE | optimized geometry" total_energy_ry_per_atom=-0.506 density_g_cm3=8.26 pbc="T T T"
Pr 0.000 0.000 0.000
Pr 0.000 0.000 3.052
Pr 0.000 0.000 6.357
Pr 0.000 0.000 9.662
Co -1.288 2.231 1.462
Co -1.288 2.231 4.364
Co -1.288 2.231 8.350
Co -1.288 2.231 11.252
Co 0.000 2.974 6.357
Co 2.576 0.000 1.462
Co 2.576 0.000 4.364
Co 2.576 0.000 8.350
Co 2.576 0.000 11.252
Co 1.288 2.231 1.462
Co 1.288 2.231 4.364
Co 1.288 2.231 8.350
Co 1.288 2.231 11.252
Co 2.576 1.487 6.357
B 0.000 2.974 0.000
B 0.000 2.974 2.938
B 0.000 2.974 9.776
B 2.576 1.487 0.000
B 2.576 1.487 2.938
B 2.576 1.487 9.776

***

No. 17
8
Lattice="-3.503 3.503 2.685 3.503 -3.503 2.685 3.503 3.503 -2.685" Properties=species:S:1:pos:R:3 comment="MgGaRu2 | the Alexandria database | GGA-PBE | optimized geometry" total_energy_ry_per_atom=-0.399 density_g_cm3=7.47 pbc="T T T"
Mg 0.000 0.000 0.000
Mg 0.000 3.503 1.342
Ga 3.503 0.000 1.342
Ga 0.000 0.000 2.685
Ru 1.751 1.958 -0.671
Ru 5.047 1.751 0.671
Ru 1.751 1.544 2.014
Ru -1.544 1.751 3.356

***

No. 18
4
Lattice="1.660 0.959 10.341 -1.660 0.959 10.341 0.000 -1.917 10.341" Properties=species:S:1:pos:R:3 comment="Th2MnSi | the Alexandria database | GGA-PBE | optimized geometry" raw_formation_energy_mev_per_atom=486.7 density_g_cm3=9.20 pbc="T T T"
Th 0.000 0.000 2.760
Th 0.000 0.000 28.264
Mn 0.000 0.000 0.000
Si 0.000 0.000 15.512

***

No. 19
5
Lattice="4.941 0.000 0.000 0.000 4.941 0.000 0.000 0.000 4.941" Properties=species:S:1:pos:R:3 comment="NbTl3Ni | the Alexandria database | GGA-PBE | optimized geometry" e_above_lowest_polymorph_mev_per_atom=0.0 density_g_cm3=10.53 pbc="T T T"
Nb 0.000 0.000 0.000
Tl 0.000 2.471 2.471
Tl 2.471 0.000 2.471
Tl 2.471 2.471 0.000
Ni 2.471 2.471 2.471

***

No. 20
9
Lattice="7.200 -4.470 0.000 7.200 4.470 0.000 -2.041 0.000 5.146" Properties=species:S:1:pos:R:3 comment="RbNa2Tl6 | the Alexandria database | GGA-PBE | optimized geometry" total_energy_ry_per_atom=-0.147 density_g_cm3=6.81 pbc="T T T"
Rb 0.000 0.000 0.000
Na 3.519 0.000 4.455
Na 8.839 0.000 0.691
Tl 3.343 1.588 1.386
Tl 6.179 1.572 2.573
Tl 3.343 -1.588 1.386
Tl 9.016 1.588 3.760
Tl 6.179 -1.572 2.573
Tl 9.016 -1.588 3.760